# 1
Below is crystalline Sr3Ca at its relaxed geometry, with properties calculated at the GGA-PBEsol level.

Cell and atoms, written as CIF:
```
data_Sr3Ca
_symmetry_space_group_name_H-M 'P 63/m m c'
_symmetry_Int_Tables_number 194
_symmetry_space_group_name_Hall '-P 6c 2c'
_cell_length_a 8.1992
_cell_length_b 8.1992
_cell_length_c 20.1926
_cell_angle_alpha 90.00
_cell_angle_beta 90.00
_cell_angle_gamma 120.00
loop_
_atom_site_label
_atom_site_fract_x
_atom_site_fract_y
_atom_site_fract_z
_atom_site_occupancy
Sr1 0.0027 0.5014 0.2500 1
Sr2 0.1666 0.3333 0.5832 1
Ca1 0.0000 0.0000 0.2500 1
Ca2 0.3333 0.6667 0.0831 1
```

* N(E_F): 26.781 states/eV per cell
* raw total energy: -7.6 eV/f.u.
* crystal system: hexagonal
* formation energy from the elements: 0.012 eV/atom



# 2
Below is crystalline Sr2Ca at its relaxed geometry, with properties calculated at the GGA-PBEsol level.

Cell and atoms, written as CIF:
```
data_Sr2Ca
_symmetry_space_group_name_H-M 'C 1 m 1'
_symmetry_Int_Tables_number 8
_cell_length_a 15.1656
_cell_length_b 4.0765
_cell_length_c 9.7215
_cell_angle_alpha 90.00
_cell_angle_beta 105.89
_cell_angle_gamma 90.00
loop_
_symmetry_equiv_pos_as_xyz
'x,y,z'
'x,-y,z'
'x+1/2,y+1/2,z'
'x+1/2,-y+1/2,z'
loop_
_atom_site_label
_atom_site_fract_x
_atom_site_fract_y
_atom_site_fract_z
_atom_site_occupancy
Sr1 0.0000 0.0000 0.0000 1
Sr2 0.0546 0.0000 0.6075 1
Sr3 0.2238 0.5000 0.9407 1
Sr4 0.3850 0.0000 0.2804 1
Ca1 0.1676 0.5000 0.3383 1
Ca2 0.3304 0.0000 0.6600 1
```

* N(E_F): 12.893 states/eV per cell
* energy above the lowest structure with this stoichiometry: 8 meV/atom
* raw total energy: -5.8 eV/f.u.
* crystal system: monoclinic
* formation energy from the elements: 0.020 eV/atom



# 3
Below is crystalline SrCa at its relaxed geometry, with properties calculated at the GGA-PBEsol level.

Cell and atoms, written as CIF:
```
data_SrCa
_symmetry_space_group_name_H-M 'I m m a'
_symmetry_Int_Tables_number 74
_symmetry_space_group_name_Hall '-I 2b 2'
_cell_length_a 4.4486
_cell_length_b 6.3894
_cell_length_c 12.7657
_cell_angle_alpha 90.00
_cell_angle_beta 90.00
_cell_angle_gamma 90.00
loop_
_atom_site_label
_atom_site_fract_x
_atom_site_fract_y
_atom_site_fract_z
_atom_site_occupancy
Sr1 0.0000 0.2500 0.1196 1
Ca1 0.0000 0.2500 0.6316 1
```

* N(E_F): 9.885 states/eV per cell
* energy above the lowest structure with this stoichiometry: 10 meV/atom
* raw total energy: -3.9 eV/f.u.
* crystal system: orthorhombic
* formation energy from the elements: 0.023 eV/atom



# 4
Below is crystalline Sr2Ca at its relaxed geometry, with properties calculated at the GGA-PBEsol level.

Cell and atoms, written as CIF:
```
data_Sr2Ca
_symmetry_space_group_name_H-M 'I 41/a m d'
_symmetry_Int_Tables_number 141
_cell_length_a 3.9403
_cell_length_b 3.9403
_cell_length_c 37.5486
_cell_angle_alpha 90.00
_cell_angle_beta 90.00
_cell_angle_gamma 90.00
loop_
_symmetry_equiv_pos_as_xyz
'x,y,z'
'-x,-y,-z'
'-y+1/4,x+3/4,z+1/4'
'y+1/4,-x+3/4,-z+1/4'
'-x+1/2,-y,z+1/2'
'x+1/2,y,-z+1/2'
'y+1/4,-x+1/4,z+3/4'
'-y+1/4,x+1/4,-z+3/4'
'x,-y,-z'
'-x,y,z'
'-y+1/4,-x+1/4,-z+3/4'
'y+1/4,x+1/4,z+3/4'
'-x+1/2,y,-z+1/2'
'x+1/2,-y,z+1/2'
'y+1/4,x+3/4,-z+1/4'
'-y+1/4,-x+3/4,z+1/4'
'x+1/2,y+1/2,z+1/2'
'-x+1/2,-y+1/2,-z+1/2'
'-y+3/4,x+1/4,z+3/4'
'y+3/4,-x+1/4,-z+3/4'
'-x,-y+1/2,z'
'x,y+1/2,-z'
'y+3/4,-x+3/4,z+1/4'
'-y+3/4,x+3/4,-z+1/4'
'x+1/2,-y+1/2,-z+1/2'
'-x+1/2,y+1/2,z+1/2'
'-y+3/4,-x+3/4,-z+1/4'
'y+3/4,x+3/4,z+1/4'
'-x,y+1/2,-z'
'x,-y+1/2,z'
'y+3/4,x+1/4,-z+3/4'
'-y+3/4,-x+1/4,z+3/4'
loop_
_atom_site_label
_atom_site_fract_x
_atom_site_fract_y
_atom_site_fract_z
_atom_site_occupancy
Sr1 0.0000 0.2500 0.2973 1
Ca1 0.0000 0.2500 0.8750 1
```

* N(E_F): 12.980 states/eV per cell
* energy above the lowest structure with this stoichiometry: 73 meV/atom
* raw total energy: -5.6 eV/f.u.
* crystal system: tetragonal
* formation energy from the elements: 0.085 eV/atom



# 5
Below is crystalline SrCa at its relaxed geometry, with properties calculated at the GGA-PBEsol level.

Cell and atoms, written as CIF:
```
data_SrCa
_symmetry_space_group_name_H-M 'C 1 m 1'
_symmetry_Int_Tables_number 8
_cell_length_a 14.9018
_cell_length_b 4.0315
_cell_length_c 9.6136
_cell_angle_alpha 90.00
_cell_angle_beta 106.17
_cell_angle_gamma 90.00
loop_
_symmetry_equiv_pos_as_xyz
'x,y,z'
'x,-y,z'
'x+1/2,y+1/2,z'
'x+1/2,-y+1/2,z'
loop_
_atom_site_label
_atom_site_fract_x
_atom_site_fract_y
_atom_site_fract_z
_atom_site_occupancy
Sr1 0.0000 0.0000 0.0000 1
Sr2 0.0522 0.0000 0.6114 1
Sr3 0.3785 0.0000 0.2736 1
Ca1 0.1641 0.5000 0.3383 1
Ca2 0.2205 0.5000 0.9390 1
Ca3 0.3256 0.0000 0.6659 1
```

* N(E_F): 13.130 states/eV per cell
* energy above the lowest structure with this stoichiometry: 7 meV/atom
* raw total energy: -3.9 eV/f.u.
* crystal system: monoclinic
* formation energy from the elements: 0.019 eV/atom



# 6
Below is crystalline Sr3Ca at its relaxed geometry, with properties calculated at the GGA-PBEsol level.

Cell and atoms, written as CIF:
```
data_Sr3Ca
_symmetry_space_group_name_H-M 'P -6 m 2'
_symmetry_Int_Tables_number 187
_symmetry_space_group_name_Hall 'P -6 2'
_cell_length_a 4.1032
_cell_length_b 4.1032
_cell_length_c 13.5073
_cell_angle_alpha 90.00
_cell_angle_beta 90.00
_cell_angle_gamma 120.00
loop_
_atom_site_label
_atom_site_fract_x
_atom_site_fract_y
_atom_site_fract_z
_atom_site_occupancy
Sr1 0.0000 0.0000 0.0000 1
Sr2 0.3333 0.6667 0.2572 1
Ca1 0.0000 0.0000 0.5000 1
```

* N(E_F): 4.254 states/eV per cell
* raw total energy: -7.6 eV/f.u.
* crystal system: hexagonal
* formation energy from the elements: 0.019 eV/atom



# 7
Below is crystalline Sr3Ca at its relaxed geometry, with properties calculated at the GGA-PBEsol level.

Cell and atoms, written as CIF:
```
data_Sr3Ca
_symmetry_space_group_name_H-M 'R -3 m'
_symmetry_Int_Tables_number 166
_symmetry_space_group_name_Hall '-R 3 2"'
_cell_length_a 12.9264
_cell_length_b 12.9264
_cell_length_c 3.9763
_cell_angle_alpha 90.00
_cell_angle_beta 90.00
_cell_angle_gamma 120.00
loop_
_atom_site_label
_atom_site_fract_x
_atom_site_fract_y
_atom_site_fract_z
_atom_site_occupancy
Sr1 0.0000 0.5000 0.0000 1
Ca1 0.0000 0.0000 0.0000 1
```

* N(E_F): 11.738 states/eV per cell
* raw total energy: -7.6 eV/f.u.
* crystal system: trigonal
* formation energy from the elements: 0.017 eV/atom



# 8
Below is crystalline Sr3Ca at its relaxed geometry, with properties calculated at the GGA-PBEsol level.

Cell and atoms, written as CIF:
```
data_Sr3Ca
_symmetry_space_group_name_H-M 'P m m 2'
_symmetry_Int_Tables_number 25
_cell_length_a 4.1021
_cell_length_b 6.7441
_cell_length_c 7.0956
_cell_angle_alpha 90.00
_cell_angle_beta 90.00
_cell_angle_gamma 90.00
loop_
_symmetry_equiv_pos_as_xyz
'x,y,z'
'-x,-y,z'
'-x,y,z'
'x,-y,z'
loop_
_atom_site_label
_atom_site_fract_x
_atom_site_fract_y
_atom_site_fract_z
_atom_site_occupancy
Sr1 0.0000 0.0000 0.0000 1
Sr2 0.0000 0.5000 0.3361 1
Sr3 0.5000 0.5000 0.8304 1
Ca1 0.5000 0.0000 0.5002 1
```

* N(E_F): 3.948 states/eV per cell
* raw total energy: -7.6 eV/f.u.
* crystal system: orthorhombic
* formation energy from the elements: 0.016 eV/atom



# 9
Below is crystalline SrCa at its relaxed geometry, with properties calculated at the GGA-PBEsol level.

Cell and atoms, written as CIF:
```
data_SrCa
_symmetry_space_group_name_H-M 'P m -3 m'
_symmetry_Int_Tables_number 221
_symmetry_space_group_name_Hall '-P 4 2 3'
_cell_length_a 4.4928
_cell_length_b 4.4928
_cell_length_c 4.4928
_cell_angle_alpha 90.00
_cell_angle_beta 90.00
_cell_angle_gamma 90.00
loop_
_atom_site_label
_atom_site_fract_x
_atom_site_fract_y
_atom_site_fract_z
_atom_site_occupancy
Sr1 0.0000 0.0000 0.0000 1
Ca1 0.5000 0.5000 0.5000 1
```

* N(E_F): 2.518 states/eV per cell
* energy above the lowest structure with this stoichiometry: 11 meV/atom
* raw total energy: -3.9 eV/f.u.
* crystal system: cubic
* formation energy from the elements: 0.023 eV/atom



# 10
Below is crystalline Sr3Ca at its relaxed geometry, with properties calculated at the GGA-PBEsol level.

Cell and atoms, written as CIF:
```
data_Sr3Ca
_symmetry_space_group_name_H-M 'P 4/m m m'
_symmetry_Int_Tables_number 123
_symmetry_space_group_name_Hall '-P 4 2'
_cell_length_a 6.4675
_cell_length_b 6.4675
_cell_length_c 4.5836
_cell_angle_alpha 90.00
_cell_angle_beta 90.00
_cell_angle_gamma 90.00
loop_
_atom_site_label
_atom_site_fract_x
_atom_site_fract_y
_atom_site_fract_z
_atom_site_occupancy
Sr1 0.0000 0.0000 0.0000 1
Sr2 0.0000 0.5000 0.5000 1
Ca1 0.5000 0.5000 0.0000 1
```

* N(E_F): 4.094 states/eV per cell
* raw total energy: -7.6 eV/f.u.
* crystal system: tetragonal
* formation energy from the elements: 0.016 eV/atom



# 11
Below is crystalline Sr3Ca at its relaxed geometry, with properties calculated at the GGA-PBEsol level.

Cell and atoms, written as CIF:
```
data_Sr3Ca
_symmetry_space_group_name_H-M 'F m -3 m'
_symmetry_Int_Tables_number 225
_symmetry_space_group_name_Hall '-F 4 2 3'
_cell_length_a 9.1588
_cell_length_b 9.1588
_cell_length_c 9.1588
_cell_angle_alpha 90.00
_cell_angle_beta 90.00
_cell_angle_gamma 90.00
loop_
_atom_site_label
_atom_site_fract_x
_atom_site_fract_y
_atom_site_fract_z
_atom_site_occupancy
Sr1 0.0000 0.0000 0.0000 1
Sr2 0.2500 0.2500 0.2500 1
Ca1 0.0000 0.0000 0.5000 1
```

* N(E_F): 18.726 states/eV per cell
* raw total energy: -7.6 eV/f.u.
* crystal system: cubic
* formation energy from the elements: 0.017 eV/atom



# 12
Below is crystalline SrCa at its relaxed geometry, with properties calculated at the GGA-PBEsol level.

Cell and atoms, written as CIF:
```
data_SrCa
_symmetry_space_group_name_H-M 'P m m n'
_symmetry_Int_Tables_number 59
_cell_length_a 4.0129
_cell_length_b 6.5973
_cell_length_c 6.9578
_cell_angle_alpha 90.00
_cell_angle_beta 90.00
_cell_angle_gamma 90.00
loop_
_symmetry_equiv_pos_as_xyz
'x,y,z'
'-x,-y,-z'
'-x+1/2,-y+1/2,z'
'x+1/2,y+1/2,-z'
'x+1/2,-y,-z'
'-x+1/2,y,z'
'-x,y+1/2,-z'
'x,-y+1/2,z'
loop_
_atom_site_label
_atom_site_fract_x
_atom_site_fract_y
_atom_site_fract_z
_atom_site_occupancy
Sr1 0.2500 0.2500 0.0891 1
Ca1 0.2500 0.7500 0.4174 1
```

* N(E_F): 3.791 states/eV per cell
* energy above the lowest structure with this stoichiometry: 7 meV/atom
* raw total energy: -3.9 eV/f.u.
* crystal system: orthorhombic
* formation energy from the elements: 0.020 eV/atom



# 13
Below is crystalline Sr2Ca at its relaxed geometry, with properties calculated at the GGA-PBEsol level.

Cell and atoms, written as CIF:
```
data_Sr2Ca
_symmetry_space_group_name_H-M 'P -3 m 1'
_symmetry_Int_Tables_number 164
_symmetry_space_group_name_Hall '-P 3 2"'
_cell_length_a 4.0814
_cell_length_b 4.0814
_cell_length_c 9.9711
_cell_angle_alpha 90.00
_cell_angle_beta 90.00
_cell_angle_gamma 120.00
loop_
_atom_site_label
_atom_site_fract_x
_atom_site_fract_y
_atom_site_fract_z
_atom_site_occupancy
Sr1 0.3333 0.6667 0.3259 1
Ca1 0.0000 0.0000 0.0000 1
```

* N(E_F): 3.602 states/eV per cell
* energy above the lowest structure with this stoichiometry: 7 meV/atom
* raw total energy: -5.8 eV/f.u.
* crystal system: trigonal
* formation energy from the elements: 0.019 eV/atom



# 14
Below is crystalline SrCa at its relaxed geometry, with properties calculated at the GGA-PBEsol level.

Cell and atoms, written as CIF:
```
data_SrCa
_symmetry_space_group_name_H-M 'R -3 m'
_symmetry_Int_Tables_number 166
_symmetry_space_group_name_Hall '-R 3 2"'
_cell_length_a 4.0251
_cell_length_b 4.0251
_cell_length_c 19.6475
_cell_angle_alpha 90.00
_cell_angle_beta 90.00
_cell_angle_gamma 120.00
loop_
_atom_site_label
_atom_site_fract_x
_atom_site_fract_y
_atom_site_fract_z
_atom_site_occupancy
Sr1 0.0000 0.0000 0.0000 1
Ca1 0.0000 0.0000 0.5000 1
```

* N(E_F): 7.575 states/eV per cell
* energy above the lowest structure with this stoichiometry: 12 meV/atom
* raw total energy: -3.9 eV/f.u.
* crystal system: trigonal
* formation energy from the elements: 0.024 eV/atom